Entry 1:
Here is a relaxed structure of MgV2Cl8 from the Alexandria database. Energies are from GGA-PBE.

Cell: 11.8820 9.8295 6.2152 Å, 90.00 95.21 90.00°
Closest atoms and distances in Å follow each position.
Space group C2/m (No. 12)
Symmetry-distinct sites (fractional):
Mg 0.0000 0.0000 0.0000 (multiplicity 2)  6 Cl 2.51-2.62
V 0.1983 0.0000 0.6421 (multiplicity 4)  4 Cl 2.17-2.28
Cl 0.0989 0.1707 0.7845 (multiplicity 8)  1 V 2.28, 1 Mg 2.51
Cl 0.1239 0.5000 0.2426 (multiplicity 4)  1 V 2.17
Cl 0.1791 0.0000 0.2779 (multiplicity 4)  1 V 2.25

Properties
- calculated total energy (eV/atom) = -4.440
- energy relative to the elements, uncorrected (kJ/mol of atoms) = -124.8



Entry 2:
Here is a relaxed structure of SbTeBr2 from the Alexandria database. Energies are from GGA-PBE.

Cell: 10.2882 4.0132 8.0833 Å, 90.00 111.11 90.00°
Closest atoms and distances in Å follow each position.
Space group Cm (No. 8)
Symmetry-distinct sites (fractional):
Sb 0.0000 0.0000 0.0000 (multiplicity 2)  4 Br 2.91-3.12, 3 Te 3.02-3.16
Te 0.2347 0.5000 0.1101 (multiplicity 2)  3 Sb 3.02-3.16, 1 Br 3.07
Br 0.0294 0.5000 0.3070 (multiplicity 2)  1 Te 3.07, 2 Sb 3.12
Br 0.3689 0.0000 0.7305 (multiplicity 2)  2 Sb 2.91

Properties
- calculated total energy (eV/atom) = -2.768
- energy relative to the elements, uncorrected (kJ/mol of atoms) = -11.2
- energy above the lowest structure with this stoichiometry (kcal/mol of atoms) = 4.12



Entry 3:
Here is a relaxed structure of BaScAl from the Alexandria database. Energies are from GGA-PBE.

Cell: 3.7873 3.7873 13.1295 Å, 90.00 90.07 90.00°
Closest atoms and distances in Å follow each position.
Space group P2_1/m (No. 11)
Symmetry-distinct sites (fractional):
Ba 0.2484 0.2500 0.1499 (multiplicity 2)  4 Al 3.61, 1 Sc 3.67, 4 Ba 3.79
Sc 0.2496 0.2500 0.4292 (multiplicity 2)  5 Al 2.95-3.11, 4 Sc 3.26
Al 0.2509 0.2500 0.6659 (multiplicity 2)  5 Sc 2.95-3.11

Properties
- ΔH_f (0 K) (eV/atom) = -0.1446
- calculated total energy (eV/atom) = -4.144
- energy above the lowest structure with this stoichiometry (kcal/mol of atoms) = 0.00



Entry 4:
Here is a relaxed structure of Sm3TlRh from the Alexandria database. Energies are from GGA-PBE.

Cell: 5.4306 5.4306 5.4306 Å, 90.00 90.00 90.00°
Closest atoms and distances in Å follow each position.
Space group Pm-3m (No. 221)
Symmetry-distinct sites (fractional):
Sm 0.0000 0.0000 0.5000 (multiplicity 3)  2 Rh 2.72
Tl 0.5000 0.5000 0.5000 (multiplicity 1)  12 Sm 3.84
Rh 0.0000 0.0000 0.0000 (multiplicity 1)  6 Sm 2.72

Properties
- ΔH_f (0 K) (eV/atom) = -0.2852
- calculated total energy (eV/atom) = -5.060
- energy above the lowest structure with this stoichiometry (kcal/mol of atoms) = 4.66



Entry 5:
Here is a relaxed structure of Rb2CdInCl5 from the Alexandria database. Energies are from GGA-PBE.

Cell: 5.1817 7.4553 15.6686 Å, 90.00 90.00 90.00°
Closest atoms and distances in Å follow each position.
Space group Immm (No. 71)
Symmetry-distinct sites (fractional):
Rb 0.0000 0.0000 0.2057 (multiplicity 4)  7 Cl 3.22-3.45
Cd 0.0000 0.5000 0.5000 (multiplicity 2)  6 Cl 2.59-2.67
In 0.0000 0.5000 0.0000 (multiplicity 2)  10 Cl 3.72-3.73
Cl 0.0000 0.0000 0.0000 (multiplicity 2)  2 Cd 2.59
Cl 0.0000 0.2494 0.3783 (multiplicity 8)  1 Cd 2.67

Properties
- calculated total energy (eV/atom) = -3.025
- energy relative to the elements, uncorrected (kJ/mol of atoms) = -132.9



Entry 6:
Here is a relaxed structure of Li2LaIr from the Alexandria database. Energies are from GGA-PBE.

Cell: 2.9579 2.9579 30.9100 Å, 90.00 90.00 120.00°
Closest atoms and distances in Å follow each position.
Space group R-3m (No. 166, hexagonal axes)
Symmetry-distinct sites (fractional):
Li 0.0000 0.0000 0.2314 (multiplicity 6)  3 Ir 2.63
La 0.0000 0.0000 0.0000 (multiplicity 3)  6 La 2.96
Ir 0.0000 0.0000 0.5000 (multiplicity 3)  6 Li 2.63

Properties
- ΔH_f (0 K) (eV/atom) = 0.2766
- calculated total energy (eV/atom) = -4.127
- energy above the lowest structure with this stoichiometry (kcal/mol of atoms) = 14.19



Entry 7:
Here is a relaxed structure of NaZr2Nb from the Alexandria database. Energies are from GGA-PBE.

Cell: 6.9879 6.9879 6.9879 Å, 90.00 90.00 90.00°
Closest atoms and distances in Å follow each position.
Space group Fm-3m (No. 225)
Symmetry-distinct sites (fractional):
Na 0.0000 0.0000 0.0000 (multiplicity 4)  8 Zr 3.03
Zr 0.2500 0.2500 0.2500 (multiplicity 8)  4 Nb 3.03, 4 Na 3.03
Nb 0.0000 0.0000 0.5000 (multiplicity 4)  8 Zr 3.03

Properties
- ΔH_f (0 K) (eV/atom) = 0.4987
- calculated total energy (eV/atom) = -6.623
- energy above the lowest structure with this stoichiometry (kcal/mol of atoms) = 0.00



Entry 8:
Here is a relaxed structure of Y5Hg2Sb from the Alexandria database. Energies are from GGA-PBE.

Cell: 8.2546 8.2546 13.1272 Å, 90.00 90.00 90.00°
Closest atoms and distances in Å follow each position.
Space group I4/mcm (No. 140)
Symmetry-distinct sites (fractional):
Y 0.0000 0.0000 0.0000 (multiplicity 4)  4 Hg 3.19, 2 Sb 3.28
Y 0.1550 0.3450 0.1481 (multiplicity 16)  3 Hg 3.09-3.11, 2 Sb 3.40
Hg 0.1390 0.3610 0.5000 (multiplicity 8)  8 Y 3.09-3.19, 1 Hg 3.25
Sb 0.0000 0.0000 0.2500 (multiplicity 4)  10 Y 3.28-3.40

Properties
- calculated total energy (eV/atom) = -5.213
- energy relative to the elements, uncorrected (kJ/mol of atoms) = -56.2



Entry 9:
Here is a relaxed structure of Hf2ZrHPd from the Alexandria database. Energies are from GGA-PBE.

Cell: 4.4705 4.4705 4.1272 Å, 90.00 90.00 90.00°
Closest atoms and distances in Å follow each position.
Space group P4/mmm (No. 123)
Symmetry-distinct sites (fractional):
Hf 0.0000 0.5000 0.0000 (multiplicity 2)  2 H 2.24
Zr 0.0000 0.0000 0.5000 (multiplicity 1)  8 Hf 3.04, 4 Pd 3.16
H 0.5000 0.5000 0.0000 (multiplicity 1)  2 Pd 2.06, 4 Hf 2.24
Pd 0.5000 0.5000 0.5000 (multiplicity 1)  2 H 2.06

Properties
- calculated total energy (eV/atom) = -7.618
- energy above the lowest structure with this stoichiometry (kcal/mol of atoms) = 1.34



Entry 10:
Here is a relaxed structure of CaCu2Ag from the Alexandria database. Energies are from GGA-PBE.

Cell: 3.6746 4.0476 5.4087 Å, 90.00 108.86 90.00°
Closest atoms and distances in Å follow each position.
Space group Pm (No. 6)
Symmetry-distinct sites (fractional):
Ca 0.0000 0.0000 0.0000 (multiplicity 1)  7 Cu 2.77-2.99
Cu 0.5967 0.5000 0.2030 (multiplicity 1)  2 Cu 2.41
Cu 0.7205 0.0000 0.4584 (multiplicity 1)  2 Cu 2.41
Ag 0.3064 0.5000 0.6238 (multiplicity 1)  7 Cu 2.81-2.97

Properties
- ΔH_f (0 K) (eV/atom) = 0.0010
- calculated total energy (eV/atom) = -3.260
- energy above the lowest structure with this stoichiometry (kcal/mol of atoms) = 1.81



Entry 11:
Here is a relaxed structure of KZnPb2 from the Alexandria database. Energies are from GGA-PBE.

Cell: 4.8127 4.8127 10.5607 Å, 90.00 90.00 90.00°
Closest atoms and distances in Å follow each position.
Space group I4/mmm (No. 139)
Symmetry-distinct sites (fractional):
K 0.0000 0.0000 0.0000 (multiplicity 2)  4 Zn 3.40, 8 Pb 3.57
Zn 0.0000 0.0000 0.5000 (multiplicity 2)  4 K 3.40, 8 Pb 3.57
Pb 0.0000 0.5000 0.2500 (multiplicity 4)  4 Pb 3.40, 4 K 3.57, 4 Zn 3.57

Properties
- ΔH_f (0 K) (eV/atom) = 0.1329
- calculated total energy (eV/atom) = -2.314
- energy above the lowest structure with this stoichiometry (kcal/mol of atoms) = 3.89



Entry 12:
Here is a relaxed structure of BaZr5Pb4O15 from the Alexandria database. Energies are from GGA-PBE.

Cell: 6.0519 5.9702 21.2148 Å, 90.00 90.74 90.00°
Closest atoms and distances in Å follow each position.
Space group Cm (No. 8)
Symmetry-distinct sites (fractional):
Ba 0.0000 0.0000 0.0000 (multiplicity 2)  10 O 2.78-3.11
Zr 0.0039 0.5000 0.0969 (multiplicity 2)  6 O 2.07-2.25
Zr 0.4935 0.0000 0.6943 (multiplicity 2)  6 O 2.05-2.23
Zr 0.4950 0.0000 0.4951 (multiplicity 2)  6 O 2.05-2.23
Zr 0.4962 0.0000 0.2960 (multiplicity 2)  6 O 2.05-2.23
Zr 0.4995 0.0000 0.8951 (multiplicity 2)  6 O 2.04-2.22
Pb 0.4332 0.5000 0.8024 (multiplicity 2)  3 O 2.38-2.51
Pb 0.4373 0.5000 0.6042 (multiplicity 2)  3 O 2.41-2.47
Pb 0.4391 0.5000 0.4055 (multiplicity 2)  3 O 2.41-2.46
Pb 0.4419 0.5000 0.2067 (multiplicity 2)  3 O 2.43-2.46
O 0.0130 0.5000 0.9911 (multiplicity 2)  2 Zr 2.04-2.25
O 0.0414 0.5000 0.5924 (multiplicity 2)  2 Zr 2.08-2.19
O 0.0406 0.5000 0.7913 (multiplicity 2)  2 Zr 2.07-2.22
O 0.0419 0.5000 0.1941 (multiplicity 2)  2 Zr 2.07-2.18
O 0.0423 0.5000 0.3932 (multiplicity 2)  2 Zr 2.08-2.18
O 0.2665 0.2528 0.0882 (multiplicity 4)  2 Zr 2.09-2.18
O 0.2777 0.2632 0.8890 (multiplicity 4)  2 Zr 2.07-2.20
O 0.2789 0.2643 0.6879 (multiplicity 4)  2 Zr 2.05-2.23
O 0.2802 0.2635 0.2892 (multiplicity 4)  2 Zr 2.05-2.23
O 0.2796 0.2637 0.4886 (multiplicity 4)  2 Zr 2.05-2.23

Properties
- calculated total energy (eV/atom) = -7.940
- energy relative to the elements, uncorrected (kJ/mol of atoms) = -249.4



Entry 13:
Here is a relaxed structure of SmReTe from the Alexandria database. Energies are from GGA-PBE.

Cell: 3.6872 3.6872 11.9357 Å, 90.00 90.00 90.00°
Closest atoms and distances in Å follow each position.
Space group P4/nmm (No. 129, origin choice 2)
Symmetry-distinct sites (fractional):
Sm 0.2500 0.2500 0.2205 (multiplicity 2)  4 Te 3.13, 4 Re 3.21
Re 0.2500 0.7500 0.0000 (multiplicity 2)  4 Re 2.61
Te 0.2500 0.2500 0.6343 (multiplicity 2)  4 Sm 3.13

Properties
- calculated total energy (eV/atom) = -7.050
- energy relative to the elements, uncorrected (kJ/mol of atoms) = -27.1



Entry 14:
Here is a relaxed structure of SiAgMo2 from the Alexandria database. Energies are from GGA-PBE.

Cell: 5.3050 8.3491 2.7804 Å, 90.00 90.00 90.00°
Closest atoms and distances in Å follow each position.
Space group Cmmm (No. 65)
Symmetry-distinct sites (fractional):
Si 0.0000 0.0000 0.0000 (multiplicity 2)  2 Ag 2.65, 2 Si 2.78, 8 Mo 2.84
Ag 0.0000 0.5000 0.0000 (multiplicity 2)  2 Si 2.65, 2 Ag 2.78, 8 Mo 2.84
Mo 0.2500 0.2500 0.5000 (multiplicity 4)  4 Mo 2.65-2.78, 4 Si 2.84, 4 Ag 2.84

Properties
- calculated total energy (eV/atom) = -7.192
- energy relative to the elements, uncorrected (kJ/mol of atoms) = 28.2



Entry 15:
Here is a relaxed structure of RbBaCeF6 from the Alexandria database. Energies are from GGA-PBE.

Cell: 6.7484 6.7484 10.3333 Å, 90.00 90.00 120.00°
Closest atoms and distances in Å follow each position.
Space group P-31c (No. 163)
Symmetry-distinct sites (fractional):
Rb 0.3333 0.6667 0.2500 (multiplicity 2)  6 F 2.82
Ba 0.0000 0.0000 0.0000 (multiplicity 2)  6 F 2.65
Ce 0.3333 0.6667 0.7500 (multiplicity 2)  6 F 2.32
F 0.0573 0.3621 0.6313 (multiplicity 12)  1 Ce 2.32

Properties
- calculated total energy (eV/atom) = -5.858
- energy relative to the elements, uncorrected (kJ/mol of atoms) = -350.3



Entry 16:
Here is a relaxed structure of Pm3Zn7Ir2 from the Alexandria database. Energies are from GGA-PBE.

Cell: 5.4974 5.4974 25.9430 Å, 90.00 90.00 120.00°
Closest atoms and distances in Å follow each position.
Space group R-3m (No. 166, hexagonal axes)
Symmetry-distinct sites (fractional):
Pm 0.0000 0.0000 0.0000 (multiplicity 3)  6 Ir 3.17, 12 Zn 3.44
Pm 0.0000 0.0000 0.1467 (multiplicity 6)  12 Zn 3.20-3.25, 3 Pm 3.34
Zn 0.0000 0.0000 0.5000 (multiplicity 3)  6 Zn 2.76
Zn 0.0022 0.5011 0.0796 (multiplicity 18)  2 Ir 2.59-2.62, 5 Zn 2.73-2.77
Ir 0.0000 0.0000 0.3336 (multiplicity 6)  6 Zn 2.59-2.62

Properties
- ΔH_f (0 K) (eV/atom) = -0.3202
- calculated total energy (eV/atom) = -3.728



Entry 17:
Here is a relaxed structure of AlCrOs3 from the Alexandria database. Energies are from GGA-PBE.

Cell: 4.3469 4.3469 4.3469 Å, 90.00 90.00 90.00°
Closest atoms and distances in Å follow each position.
Space group Pm-3m (No. 221)
Symmetry-distinct sites (fractional):
Al 0.0000 0.0000 0.0000 (multiplicity 1)  6 Os 2.17
Cr 0.5000 0.5000 0.5000 (multiplicity 1)  12 Os 3.07
Os 0.0000 0.0000 0.5000 (multiplicity 3)  2 Al 2.17

Properties
- ΔH_f (0 K) (eV/atom) = 1.7940
- calculated total energy (eV/atom) = -7.617
- energy above the lowest structure with this stoichiometry (kcal/mol of atoms) = 6.11